Version P
Rb2GaAs2 | PBE-GGA | optimized geometry

Structure (extended XYZ):
```
40
Lattice="14.913 0.000 0.000 0.000 9.229 -0.002 0.000 5.618 10.460" Properties=species:S:1:pos:R:3 pbc="T T T"
Rb 9.203 7.743 5.955
Rb 1.747 9.913 9.733
Rb 5.710 7.104 4.503
Rb 13.167 4.934 0.725
Rb 9.151 7.382 10.218
Rb 1.695 10.274 5.470
Rb 5.762 7.465 0.240
Rb 13.218 4.573 4.989
Rb 12.966 8.785 6.206
Rb 5.509 8.870 9.482
Rb 1.947 6.061 4.252
Rb 9.404 5.976 0.976
Rb 12.988 5.542 10.087
Rb 5.531 12.114 5.601
Rb 1.926 9.305 0.372
Rb 9.382 2.733 4.857
Ga 14.044 1.453 2.684
Ga 6.587 10.585 2.545
Ga 8.326 4.261 7.913
Ga 11.687 12.159 7.919
Ga 4.230 5.497 7.769
Ga 3.226 2.688 2.539
Ga 10.683 9.350 2.690
Ga 0.869 13.394 7.774
As 8.276 8.819 2.721
As 2.839 7.441 7.453
As 4.618 4.633 2.223
As 10.295 10.214 8.235
As 10.610 5.075 7.618
As 3.153 12.580 8.070
As 4.304 9.772 2.840
As 11.760 2.266 2.388
As 0.819 3.219 2.507
As 6.637 6.028 7.737
As 14.094 11.627 7.951
As 14.389 8.302 2.917
As 7.981 11.111 8.147
As 0.524 6.545 7.541
As 12.075 7.405 3.005
As 6.933 3.736 2.311
```

Output
Space-group type: P2_1/c (14)
Total moment, μB per atom: 0.0000
Theoretical density, g cm⁻³: 3.60

Version Q
Rb2GaAs2 | PBE-GGA | optimized geometry

Structure (extended XYZ):
```
10
Lattice="-6.596 2.936 1.693 -3.345 -5.043 -4.287 -0.418 -3.501 4.444" Properties=species:S:1:pos:R:3 pbc="T T T"
As -5.474 -3.327 -3.136
As -7.886 -0.523 -1.154
As -4.467 1.221 0.541
As -2.055 -1.583 -1.441
Ga 0.000 0.000 0.000
Ga -4.971 -1.053 -1.297
Rb -3.649 -4.646 -0.383
Rb -7.430 -3.906 -0.156
Rb -6.711 -0.961 2.232
Rb -2.929 -1.701 2.005
```

Output
Space-group type: P4/mbm (127)
Total moment, μB per atom: 0.0000
Theoretical density, g cm⁻³: 4.16

Version R
Rb2GaAs2 | PBE-GGA | optimized geometry

Structure (extended XYZ):
```
10
Lattice="6.765 0.000 0.000 -3.383 6.921 -2.516 0.000 -6.429 10.779" Properties=species:S:1:pos:R:3 pbc="T T T"
Rb 3.383 -0.947 4.845
Rb 0.000 1.438 3.418
Rb 0.000 -4.076 8.929
Rb 3.383 4.568 -0.666
Ga 0.000 -0.644 7.266
Ga 3.383 1.135 0.997
As 0.000 -1.959 5.250
As 3.383 2.451 3.013
As 0.000 5.630 -1.071
As 3.383 -5.138 9.334
```

Output
Space-group type: C2/m (12)
Total moment, μB per atom: 0.0000
Theoretical density, g cm⁻³: 3.28

On energetic grounds, version P is preferred over the next structure by 85 meV per atom.

Version P
RbGaAs3 | PBE-GGA | optimized geometry

Structure (extended XYZ):
```
5
Lattice="-1.030 -4.183 -2.797 2.163 -2.946 3.610 -4.544 -0.454 2.352" Properties=species:S:1:pos:R:3 pbc="T T T"
As 1.081 -1.473 1.805
As -2.272 -0.227 1.176
As -0.515 -2.092 -1.399
Ga 0.000 0.000 0.000
Rb -1.706 -3.792 1.582
```

Output
Space-group type: Pm-3m (221)
Total moment, μB per atom: 0.0000
Theoretical density, g cm⁻³: 4.66

Version Q
RbGaAs3 | PBE-GGA | optimized geometry

Structure (extended XYZ):
```
5
Lattice="5.717 0.000 0.000 0.000 5.717 0.000 0.000 0.000 5.717" Properties=species:S:1:pos:R:3 pbc="T T T"
As 0.000 2.858 0.000
As 0.000 0.000 2.858
As 2.858 0.000 0.000
Ga 2.858 2.858 2.858
Rb 0.000 0.000 0.000
```

Output
Space-group type: Pm-3m (221)
Total moment, μB per atom: 0.0000
Theoretical density, g cm⁻³: 3.38

On energetic grounds, version P is preferred over the next structure by 1276 meV per atom.

Version P
Rb3GaAs | PBE-GGA | optimized geometry

Structure (extended XYZ):
```
5
Lattice="6.728 0.000 0.000 0.000 6.728 0.000 0.000 0.000 6.728" Properties=species:S:1:pos:R:3 pbc="T T T"
As 0.000 0.000 0.000
Ga 3.364 3.364 3.364
Rb 0.000 3.364 0.000
Rb 0.000 0.000 3.364
Rb 3.364 0.000 0.000
```

Output
Space-group type: Pm-3m (221)
Total moment, μB per atom: 0.3314
Theoretical density, g cm⁻³: 2.19

Version Q
Rb3GaAs | PBE-GGA | optimized geometry

Structure (extended XYZ):
```
10
Lattice="-3.551 3.210 5.954 -5.041 -1.678 -2.087 0.743 -8.440 4.993" Properties=species:S:1:pos:R:3 pbc="T T T"
Rb -0.890 -4.941 2.480
Rb -5.519 0.016 1.862
Rb -2.397 -5.233 6.350
Rb -2.715 -1.626 4.216
Rb -3.694 -3.299 0.127
Rb -3.269 -8.132 2.986
Ga -5.660 -3.742 5.216
Ga -4.300 2.027 5.081
As -1.870 -0.168 1.008
As -4.539 -4.757 3.334
```

Output
Space-group type: P2_1/m (11)
Total moment, μB per atom: 0.0000
Theoretical density, g cm⁻³: 3.11

On energetic grounds, version Q is preferred over the next structure by 437 meV per atom.

Version P
RbGaAs2 | PBE-GGA | optimized geometry

Structure (extended XYZ):
```
8
Lattice="-3.917 -1.951 -3.500 3.973 -2.529 -3.037 -0.743 -9.037 1.383" Properties=species:S:1:pos:R:3 pbc="T T T"
As -1.411 -3.433 -1.573
As 1.082 -4.445 -2.639
As 0.200 -8.926 -1.977
As -1.245 -10.229 -4.121
Ga 0.028 -2.240 -3.269
Ga 1.629 -6.903 -2.462
Rb 0.000 0.000 0.000
Rb -2.316 -6.614 -2.693
```

Output
Space-group type: I-42d (122)
Total moment, μB per atom: 0.0000
Theoretical density, g cm⁻³: 3.90

Version Q
RbGaAs2 | PBE-GGA | optimized geometry

Structure (extended XYZ):
```
4
Lattice="-4.824 -0.004 -3.869 -4.688 -3.930 0.908 -5.043 1.461 1.345" Properties=species:S:1:pos:R:3 pbc="T T T"
As -3.990 -0.098 0.033
As -10.565 -2.374 -1.650
Ga 0.000 0.000 0.000
Rb -7.278 -1.236 -0.808
```

Output
Space-group type: R-3m (166)
Total moment, μB per atom: 0.0000
Theoretical density, g cm⁻³: 3.75

Version R
RbGaAs2 | PBE-GGA | optimized geometry

Structure (extended XYZ):
```
8
Lattice="5.728 -0.323 0.571 -2.141 7.756 0.805 2.141 4.683 6.235" Properties=species:S:1:pos:R:3 pbc="T T T"
Rb 1.071 5.448 4.876
Rb -1.071 6.991 2.165
Ga 2.830 2.974 2.000
Ga 2.899 9.142 5.612
As 3.935 6.904 6.077
As 0.433 9.476 5.022
As 5.295 2.641 2.589
As 1.794 5.212 1.535
```

Output
Space-group type: C2/m (12)
Total moment, μB per atom: 0.0000
Theoretical density, g cm⁻³: 4.30

On energetic grounds, version R is preferred over the next structure by 44 meV per atom.

Version P
RbGaAs2Se | PBE-GGA | optimized geometry

Structure (extended XYZ):
```
5
Lattice="-1.307 2.201 5.196 3.026 -4.228 2.553 4.899 3.384 -0.201" Properties=species:S:1:pos:R:3 pbc="T T T"
As 1.513 -2.114 1.276
As -0.654 1.101 2.598
Ga 3.309 0.679 3.774
Se 2.450 1.692 -0.101
Rb 0.000 0.000 0.000
```

Output
Space-group type: P4/mmm (123)
Total moment, μB per atom: 0.3067
Theoretical density, g cm⁻³: 3.19

Version Q
RbGaAs2Se | PBE-GGA | optimized geometry

Structure (extended XYZ):
```
5
Lattice="5.063 0.000 0.000 0.000 5.063 0.000 0.000 0.000 5.420" Properties=species:S:1:pos:R:3 pbc="T T T"
As 0.000 2.531 0.000
As 2.531 0.000 0.000
Ga 0.000 0.000 0.000
Se 0.000 0.000 2.710
Rb 2.531 2.531 2.710
```

Output
Space-group type: P4/mmm (123)
Total moment, μB per atom: 0.1815
Theoretical density, g cm⁻³: 4.59

On energetic grounds, version Q is preferred over the next structure by 1209 meV per atom.

Version P
RbGaAsSe2 | PBE-GGA | optimized geometry

Structure (extended XYZ):
```
5
Lattice="-3.789 4.037 -2.864 -4.873 -2.411 3.049 0.893 4.217 4.763" Properties=species:S:1:pos:R:3 pbc="T T T"
As 0.447 2.108 2.381
Ga -3.885 2.921 2.474
Se -2.436 -1.206 1.524
Se -1.895 2.018 -1.432
Rb 0.000 0.000 0.000
```

Output
Space-group type: P4/mmm (123)
Total moment, μB per atom: 1.0122
Theoretical density, g cm⁻³: 2.58

Version Q
RbGaAsSe2 | PBE-GGA | optimized geometry

Structure (extended XYZ):
```
5
Lattice="-3.020 -3.503 -2.620 2.756 -3.996 2.166 -3.163 -0.119 3.805" Properties=species:S:1:pos:R:3 pbc="T T T"
As -1.581 -0.060 1.902
Ga 0.000 0.000 0.000
Se 1.378 -1.998 1.083
Se -1.510 -1.752 -1.310
Rb -1.713 -3.809 1.675
```

Output
Space-group type: P4/mmm (123)
Total moment, μB per atom: 0.0866
Theoretical density, g cm⁻³: 4.61

On energetic grounds, version Q is preferred over the next structure by 1121 meV per atom.

Version P
GaReAs3 | PBE-GGA | optimized geometry

Structure (extended XYZ):
```
5
Lattice="4.774 0.000 0.000 0.000 4.774 0.000 0.000 0.000 4.774" Properties=species:S:1:pos:R:3 pbc="T T T"
Re 2.387 2.387 2.387
As 0.000 2.387 0.000
As 0.000 0.000 2.387
As 2.387 0.000 0.000
Ga 0.000 0.000 0.000
```

Output
Space-group type: Pm-3m (221)
Total moment, μB per atom: 0.5363
Theoretical density, g cm⁻³: 7.33

Version Q
GaReAs3 | PBE-GGA | optimized geometry

Structure (extended XYZ):
```
5
Lattice="-2.267 -2.322 3.648 -2.894 -2.245 -3.228 3.213 -3.661 -0.334" Properties=species:S:1:pos:R:3 pbc="T T T"
Re 0.000 0.000 0.000
As -1.447 -1.123 -1.614
As 1.606 -1.830 -0.167
As -1.133 -1.161 1.824
Ga -0.974 -4.114 0.043
```

Output
Space-group type: Pm-3m (221)
Total moment, μB per atom: 0.0000
Theoretical density, g cm⁻³: 6.86

On energetic grounds, version Q is preferred over the next structure by 946 meV per atom.

Version P
GaRe2As | PBE-GGA | optimized geometry

Structure (extended XYZ):
```
8
Lattice="-0.269 -6.346 -3.910 4.720 -3.173 4.826 0.289 -5.532 1.844" Properties=species:S:1:pos:R:3 pbc="T T T"
Re 0.477 -6.162 -1.636
Re 3.006 -3.743 3.245
Re 1.577 -7.510 1.409
Re 4.421 -12.686 2.500
As 0.000 0.000 0.000
As 1.123 -8.319 -0.804
Ga 2.225 -4.760 0.458
Ga 3.617 -6.732 3.563
```

Output
Space-group type: I-42d (122)
Total moment, μB per atom: 0.0000
Theoretical density, g cm⁻³: 12.33

Version Q
GaRe2As | PBE-GGA | optimized geometry

Structure (extended XYZ):
```
4
Lattice="1.284 -3.536 2.199 -2.401 -3.634 -0.124 1.452 -3.498 -2.155" Properties=species:S:1:pos:R:3 pbc="T T T"
Re 0.084 -2.667 -0.020
Re 0.251 -8.001 -0.060
As 0.168 -5.334 -0.040
Ga 0.000 0.000 0.000
```

Output
Space-group type: Fm-3m (225)
Total moment, μB per atom: 0.0000
Theoretical density, g cm⁻³: 14.67

On energetic grounds, version Q is preferred over the next structure by 492 meV per atom.